(a)
Material: MgHgPb6
Method: DFT, PBE
State: relaxed

Cell: 4.871 4.871 9.992 Å, 90.00 90.00 90.00°
Atoms (fractional coordinates):
Hg: 0.000 0.000 0.000
Mg: 0.000 0.000 0.500
Pb: 0.000 0.500 0.255
Pb: 0.000 0.500 0.745
Pb: 0.500 0.500 0.500
Pb: 0.500 0.000 0.255
Pb: 0.500 0.000 0.745
Pb: 0.500 0.500 0.000

***

(b)
Material: MgHgPb6
Method: DFT, PBE
State: relaxed

Cell: 4.808 7.017 7.017 Å, 89.81 90.00 90.00°
Atoms (fractional coordinates):
Pb: 0.000 0.245 0.245
Pb: 0.000 0.754 0.246
Pb: 0.500 0.000 0.500
Pb: 0.500 0.500 0.000
Pb: 0.000 0.246 0.754
Pb: 0.000 0.755 0.755
Mg: 0.500 0.000 0.000
Hg: 0.500 0.500 0.500

***

Least stable of them? (a).

***

(a)
Material: Mg4HgPb3
Method: DFT, PBE
State: relaxed

Cell: 3.541 7.882 7.882 Å, 101.53 90.00 90.00°
Atoms (fractional coordinates):
Mg: 0.000 0.762 0.762
Mg: 0.000 0.238 0.238
Mg: 0.500 0.759 0.241
Mg: 0.500 0.241 0.759
Hg: 0.500 0.000 0.000
Pb: 0.000 0.500 0.000
Pb: 0.000 0.000 0.500
Pb: 0.500 0.500 0.500

***

(b)
Material: Mg4HgPb3
Method: DFT, PBE
State: relaxed

Cell: 3.460 3.460 16.657 Å, 90.00 90.00 90.00°
Atoms (fractional coordinates):
Pb: 0.500 0.500 0.761
Pb: 0.500 0.500 0.500
Pb: 0.500 0.500 0.239
Hg: 0.500 0.500 0.000
Mg: 0.000 0.000 0.630
Mg: 0.000 0.000 0.107
Mg: 0.000 0.000 0.893
Mg: 0.000 0.000 0.370

***

Least stable of them? (a).

***

(a)
Material: Mg7HgPb4
Method: DFT, PBE
State: relaxed

Cell: 5.362 9.027 7.644 Å, 86.52 69.47 72.72°
Atoms (fractional coordinates):
Mg: 0.354 0.580 0.713
Mg: 0.214 0.121 0.451
Mg: 0.917 0.316 0.850
Mg: 0.786 0.879 0.549
Mg: 0.083 0.684 0.150
Mg: 0.500 0.000 0.000
Mg: 0.646 0.420 0.287
Pb: 0.568 0.229 0.634
Pb: 0.275 0.329 0.120
Pb: 0.725 0.671 0.880
Pb: 0.432 0.771 0.366
Hg: 0.000 0.000 0.000

***

(b)
Material: Mg7HgPb4
Method: DFT, PBE
State: relaxed

Cell: 5.108 5.108 13.320 Å, 90.00 90.00 120.00°
Atoms (fractional coordinates):
Mg: 0.000 0.000 0.000
Mg: 0.000 0.000 0.259
Mg: 0.000 0.000 0.741
Mg: 0.667 0.333 0.829
Mg: 0.667 0.333 0.576
Mg: 0.333 0.667 0.424
Mg: 0.333 0.667 0.171
Pb: 0.333 0.667 0.666
Pb: 0.333 0.667 0.917
Pb: 0.667 0.333 0.083
Pb: 0.667 0.333 0.334
Hg: 0.000 0.000 0.500

***

Least stable of them? (a).

***

(a)
Material: PrMgHgPb
Method: DFT, PBE
State: relaxed

Cell: 4.446 4.806 5.029 Å, 90.00 90.00 90.00°
Atoms (fractional coordinates):
Pr: 0.500 0.000 0.500
Hg: 0.000 0.000 0.000
Mg: 0.500 0.500 0.000
Pb: 0.000 0.500 0.500

***

(b)
Material: PrMgHgPb
Method: DFT, PBE
State: relaxed

Cell: 5.343 5.343 5.343 Å, 60.00 60.00 60.00°
Atoms (fractional coordinates):
Pr: 0.750 0.750 0.750
Mg: 0.250 0.250 0.250
Pb: 0.500 0.500 0.500
Hg: 0.000 0.000 0.000

***

Least stable of them? (b).

***

(a)
Material: MgHgRhPb2
Method: DFT, PBE
State: relaxed

Cell: 5.469 4.675 5.469 Å, 90.00 90.00 90.00°
Atoms (fractional coordinates):
Rh: 0.000 0.500 0.000
Pb: 0.000 0.000 0.500
Pb: 0.500 0.000 0.000
Mg: 0.000 0.000 0.000
Hg: 0.500 0.500 0.500

***

(b)
Material: MgHgRhPb2
Method: DFT, PBE
State: relaxed

Cell: 5.244 5.244 5.087 Å, 90.00 90.00 90.00°
Atoms (fractional coordinates):
Mg: 0.000 0.000 0.500
Pb: 0.500 0.000 0.000
Pb: 0.000 0.500 0.000
Rh: 0.000 0.000 0.000
Hg: 0.500 0.500 0.500

***

Least stable of them? (a).

***

(a)
Material: MgScHgPb
Method: DFT, PBE
State: relaxed

Cell: 5.089 5.089 5.089 Å, 60.00 60.00 60.00°
Atoms (fractional coordinates):
Mg: 0.500 0.500 0.500
Hg: 0.250 0.250 0.250
Pb: 0.750 0.750 0.750
Sc: 0.000 0.000 0.000

***

(b)
Material: MgScHgPb
Method: DFT, PBE
State: relaxed

Cell: 4.144 4.564 4.857 Å, 90.00 90.00 90.00°
Atoms (fractional coordinates):
Pb: 0.500 0.000 0.500
Sc: 0.000 0.500 0.500
Hg: 0.500 0.500 0.000
Mg: 0.000 0.000 0.000

***

Least stable of them? (a).